Cr2SiBrF: single point on PBEsol structure, meta-GGA SCAN.

abc: 3.895 4.845 4.845
angles: 90.00 90.00 90.00
Fractional coordinates of all 5 atoms:
Cr 0.000 0.000 0.500
Cr 0.000 0.500 0.000
Si 0.000 0.000 0.000
Br 0.500 0.500 0.500
F 0.500 0.000 0.000

## Properties
Raw formation energy: -158 kJ/mol of formula units


Zr2CrBrF: single point on PBEsol structure, meta-GGA SCAN.

abc: 4.317 4.317 5.065
angles: 90.00 90.00 90.00
Fractional coordinates of all 5 atoms:
Cr 0.500 0.500 0.500
Br 0.000 0.000 0.500
Zr 0.000 0.500 0.000
Zr 0.500 0.000 0.000
F 0.000 0.000 0.000

## Properties
Raw formation energy: -225 kJ/mol of formula units


Cr2FeBr: single point on PBEsol structure, meta-GGA SCAN.

abc: 2.880 4.261 4.261
angles: 103.32 90.00 90.00
Fractional coordinates of all 4 atoms:
Br 0.500 0.500 0.500
Cr 0.000 0.500 0.000
Cr 0.000 0.000 0.500
Fe 0.500 0.000 0.000

## Properties
Energy relative to the lowest polymorph listed for this composition: 40.0 kJ/mol of atoms
Raw formation energy: 334 kJ/mol of formula units


Cr2FeBr: single point on PBEsol structure, meta-GGA SCAN.

abc: 2.910 4.171 4.886
angles: 115.27 107.32 90.00
Fractional coordinates of all 4 atoms:
Br 0.246 0.746 0.492
Cr 0.990 0.990 0.979
Cr 0.756 0.256 0.511
Fe 0.509 0.509 0.018

## Properties
Energy relative to the lowest polymorph listed for this composition: 24.6 kJ/mol of atoms
Raw formation energy: 272 kJ/mol of formula units


Cr2FeBr: single point on PBEsol structure, meta-GGA SCAN.

abc: 2.943 2.943 6.339
angles: 90.00 90.00 90.00
Fractional coordinates of all 4 atoms:
Br 0.500 0.500 0.744
Cr 0.000 0.000 0.042
Cr 0.500 0.500 0.256
Fe 0.000 0.000 0.458

## Properties
Energy relative to the lowest polymorph listed for this composition: 0.0 kJ/mol of atoms
Raw formation energy: 174 kJ/mol of formula units


Cr2FeBr: single point on PBEsol structure, meta-GGA SCAN.

abc: 3.167 3.167 5.708
angles: 90.00 90.00 90.00
Fractional coordinates of all 4 atoms:
Br 0.500 0.500 0.500
Cr 0.000 0.000 0.829
Cr 0.000 0.000 0.171
Fe 0.500 0.500 0.000

## Properties
Energy relative to the lowest polymorph listed for this composition: 18.9 kJ/mol of atoms
Raw formation energy: 249 kJ/mol of formula units


CrFe2Br: single point on PBEsol structure, meta-GGA SCAN.

abc: 2.878 4.573 4.573
angles: 115.47 92.50 92.50
Fractional coordinates of all 4 atoms:
Br 0.500 0.000 0.000
Cr 0.500 0.500 0.500
Fe 0.000 0.500 0.000
Fe 0.000 0.000 0.500

## Properties
Raw formation energy: 271 kJ/mol of formula units


CrGe2SBr: single point on PBEsol structure, meta-GGA SCAN.

abc: 4.194 4.766 4.766
angles: 90.00 90.00 90.00
Fractional coordinates of all 5 atoms:
Cr 0.000 0.000 0.000
Ge 0.000 0.000 0.500
Ge 0.000 0.500 0.000
S 0.500 0.000 0.000
Br 0.500 0.500 0.500

## Properties
Raw formation energy: -5 kJ/mol of formula units


CrHBr3: single point on PBEsol structure, meta-GGA SCAN.

abc: 4.595 4.595 4.595
angles: 90.00 90.00 90.00
Fractional coordinates of all 5 atoms:
Cr 0.500 0.500 0.500
Br 0.000 0.500 0.000
Br 0.000 0.000 0.500
Br 0.500 0.000 0.000
H 0.000 0.000 0.000


CrHBr2: single point on PBEsol structure, meta-GGA SCAN.

abc: 5.529 5.529 6.570
angles: 114.88 114.88 90.00
Fractional coordinates of all 8 atoms:
Cr 0.250 0.750 0.500
Cr 0.000 0.000 0.000
Br 0.430 0.875 0.250
Br 0.820 0.375 0.250
Br 0.125 0.180 0.750
Br 0.625 0.570 0.750
H 0.750 0.250 0.500
H 0.500 0.500 0.000


CrHBr2: single point on PBEsol structure, meta-GGA SCAN.

abc: 4.674 4.674 4.674
angles: 60.00 60.00 60.00
Fractional coordinates of all 4 atoms:
Cr 0.500 0.500 0.500
Br 0.250 0.250 0.250
Br 0.750 0.750 0.750
H 0.000 0.000 0.000


Sc2CrHBr: single point on PBEsol structure, meta-GGA SCAN.

abc: 3.246 5.008 5.008
angles: 90.00 90.00 90.00
Fractional coordinates of all 5 atoms:
Sc 0.000 0.000 0.500
Sc 0.000 0.500 0.000
Cr 0.000 0.000 0.000
Br 0.500 0.500 0.500
H 0.500 0.000 0.000


Which E belongs to each record? In order, -14.29, -21.02, -17.72, -17.88, -18.14, -17.94, -17.82, -17.14, -15.58, -15.16, -14.97, -13.82 eV per atom.